## LiPCl2 (PBE)

Data for crystalline LiPCl2 at its relaxed geometry.

Values from the calculation:
SG = Immm (71)
total magnetization = 0.0 μB per formula unit
offset from the most stable computed form = 300.2 meV/atom
energy relative to the elements, uncorrected = -0.36 eV per atom

Geometry as CIF:
```
data_LiPCl2
_cell_length_a 5.3154
_cell_length_b 5.3154
_cell_length_c 5.3154
_cell_angle_alpha 141.77
_cell_angle_beta 99.71
_cell_angle_gamma 92.63
_symmetry_space_group_name_H-M 'P 1'
_symmetry_Int_Tables_number 1
_symmetry_space_group_name_Hall 'P 1'
loop_
_atom_site_label
_atom_site_fract_x
_atom_site_fract_y
_atom_site_fract_z
Cl1 0.0045 0.0045 0.0000
Cl2 0.4955 0.4955 0.0000
P1 0.2500 0.7500 0.5000
Li1 0.7500 0.2500 0.5000
```